Record 1
Density functional theory data (PBE) for Ac8Ge5Cl after structural relaxation.

The structure in CIF format:
```
data_Ac8Ge5Cl
_chemical_formula_sum 'Ac16 Ge10 Cl2'
_cell_length_a 9.678
_cell_length_b 9.678
_cell_length_c 9.804
_cell_angle_alpha 90.00
_cell_angle_beta 90.00
_cell_angle_gamma 90.00
_symmetry_space_group_name_H-M 'I -4'
_symmetry_Int_Tables_number 82
loop_
_symmetry_equiv_pos_as_xyz
'x,y,z'
'y,-x,-z'
'-x,-y,z'
'-y,x,-z'
'x+1/2,y+1/2,z+1/2'
'y+1/2,-x+1/2,-z+1/2'
'-x+1/2,-y+1/2,z+1/2'
'-y+1/2,x+1/2,-z+1/2'
loop_
_atom_site_label
_atom_site_type_symbol
_atom_site_fract_x
_atom_site_fract_y
_atom_site_fract_z
_atom_site_occupancy
Ac1 Ac 0.069 0.310 0.431 1
Ac2 Ac 0.071 0.181 0.809 1
Ge1 Ge 0.000 0.000 0.500 1
Ge2 Ge 0.126 0.247 0.122 1
Cl1 Cl 0.000 0.500 0.750 1
```

Properties
Fermi-level density of states   1.0136 states/eV/atom
E_form (uncorrected)   -777.0 meV/atom



Record 2
Density functional theory data (PBE) for Ac4Ge3Cl after structural relaxation.

The structure in CIF format:
```
data_Ac4Ge3Cl
_chemical_formula_sum 'Ac8 Ge6 Cl2'
_cell_length_a 4.612
_cell_length_b 12.885
_cell_length_c 9.089
_cell_angle_alpha 90.00
_cell_angle_beta 90.00
_cell_angle_gamma 90.00
_symmetry_space_group_name_H-M 'A m m 2'
_symmetry_Int_Tables_number 38
loop_
_symmetry_equiv_pos_as_xyz
'x,y,z'
'-x,-y,z'
'-x,y,z'
'x,-y,z'
'x,y+1/2,z+1/2'
'-x,-y+1/2,z+1/2'
'-x,y+1/2,z+1/2'
'x,-y+1/2,z+1/2'
loop_
_atom_site_label
_atom_site_type_symbol
_atom_site_fract_x
_atom_site_fract_y
_atom_site_fract_z
_atom_site_occupancy
Ac1 Ac 0.000 0.000 0.000 1
Ac2 Ac 0.000 0.000 0.469 1
Ac3 Ac 0.500 0.247 0.234 1
Ge1 Ge 0.000 0.250 0.484 1
Ge2 Ge 0.500 0.000 0.234 1
Cl1 Cl 0.500 0.000 0.735 1
```

Properties
Fermi-level density of states   0.9441 states/eV/atom
E_form (uncorrected)   -967.0 meV/atom



Record 3
Density functional theory data (PBE) for Ac3GeCl after structural relaxation.

The structure in CIF format:
```
data_Ac3GeCl
_chemical_formula_sum 'Ac12 Ge4 Cl4'
_cell_length_a 8.628
_cell_length_b 7.042
_cell_length_c 12.252
_cell_angle_alpha 90.00
_cell_angle_beta 107.77
_cell_angle_gamma 90.00
_symmetry_space_group_name_H-M 'P 1 21/c 1'
_symmetry_Int_Tables_number 14
loop_
_symmetry_equiv_pos_as_xyz
'x,y,z'
'-x,-y,-z'
'-x,y+1/2,-z+1/2'
'x,-y+1/2,z+1/2'
loop_
_atom_site_label
_atom_site_type_symbol
_atom_site_fract_x
_atom_site_fract_y
_atom_site_fract_z
_atom_site_occupancy
Ac1 Ac 0.047 0.148 0.191 1
Ac2 Ac 0.359 0.202 0.981 1
Ac3 Ac 0.369 0.616 0.188 1
Ge1 Ge 0.300 0.624 0.884 1
Cl1 Cl 0.015 0.732 0.570 1
```

Properties
Fermi-level density of states   0.8551 states/eV/atom
E_form (uncorrected)   -811.8 meV/atom



Record 4
Density functional theory data (PBE) for Ac5Ge4Cl after structural relaxation.

The structure in CIF format:
```
data_Ac5Ge4Cl
_chemical_formula_sum 'Ac10 Ge8 Cl2'
_cell_length_a 4.617
_cell_length_b 6.420
_cell_length_c 22.829
_cell_angle_alpha 90.00
_cell_angle_beta 90.00
_cell_angle_gamma 90.00
_symmetry_space_group_name_H-M 'I m m m'
_symmetry_Int_Tables_number 71
_symmetry_space_group_name_Hall '-I 2 2'
loop_
_atom_site_label
_atom_site_type_symbol
_atom_site_fract_x
_atom_site_fract_y
_atom_site_fract_z
_atom_site_occupancy
Ac1 Ac 0.000 0.000 0.000 1
Ac2 Ac 0.000 0.000 0.200 1
Ac3 Ac 0.000 0.000 0.394 1
Ge1 Ge 0.000 0.500 0.200 1
Ge2 Ge 0.000 0.500 0.406 1
Cl1 Cl 0.000 0.500 0.000 1
```

Properties
Energy relative to the lowest polymorph listed for this composition   16 meV/atom
Fermi-level density of states   0.9898 states/eV/atom
E_form (uncorrected)   -875.3 meV/atom